[1]
MnB3Te (PBE, relaxed); DOS(E_F) = 3.24 states/eV/f.u.; energy relative to the elements, uncorrected = 30.3 kcal/mol of atoms; offset from the most stable computed form = 0.0 kJ/mol of atoms
1.0
4.036 0.000 0.000
0.000 4.036 0.000
0.000 0.000 4.036
Mn B Te
1 3 1
Cartesian
0.000 0.000 0.000
0.000 0.000 2.018
0.000 2.018 0.000
2.018 0.000 0.000
2.018 2.018 2.018

[2]
Mn2BTe (PBE, relaxed); DOS(E_F) = 3.25 states/eV/f.u.; energy relative to the elements, uncorrected = 9.8 kcal/mol of atoms; offset from the most stable computed form = 0.0 kJ/mol of atoms
1.0
5.047 0.000 0.000
0.000 5.047 0.000
0.000 0.000 11.111
Mn B Te
8 4 4
Cartesian
0.697 1.262 1.389
1.262 3.221 4.167
1.262 4.349 9.722
1.826 1.262 6.944
3.221 3.785 6.944
3.785 0.697 9.722
3.785 1.826 4.167
4.349 3.785 1.389
0.000 0.000 0.000
0.000 2.523 2.778
2.523 0.000 8.333
2.523 2.523 5.555
0.000 0.000 5.555
0.000 2.523 8.333
2.523 0.000 2.778
2.523 2.523 0.000

Across the entries above, uncorrected energy takes the values -5.15; -6.62 eV per atom, respectively.